A relaxed structure of CdIr2Cl. Source: Alexandria, functional PBE.

Cell: 4.4069 4.4069 7.7526 Å, 65.13 65.13 38.99°
Fractional positions:
Cl (0.7310, 0.7310, 0.7650)
Ir (0.0447, 0.0447, 0.0789)
Ir (0.2687, 0.2687, 0.2055)
Cd (0.4556, 0.4556, 0.4506)

Calculated values
Theoretical density   10424 kg/m³
E_form (uncorrected)   0.34 eV per atom
Symmetry   Cm, No. 8
Excess energy over the best structure of this formula in the dataset   149 meV per atom
Magnetization   0.00 μB per formula unit